Below is a relaxed Fe2BrCl crystal, with properties calculated at the PBE-GGA level.

Structure (POSCAR):
```
Fe2BrCl
1.0
-4.529 -4.283 -6.274
-0.232 -4.664 -7.511
2.502 2.575 8.083
Cl Fe Br
1 2 1
Cartesian
-0.021 -3.218 -3.063 Cl
-2.513 -3.672 -3.438 Fe
-4.426 -8.318 -12.815 Fe
-2.440 -4.585 -7.064 Br
```

## Properties
energy relative to the lowest polymorph listed for this composition	0.210	eV/atom
space group	No. 44
uncorrected formation energy	0.089	eV per atom